(1)
This record from the Alexandria database describes a geometry-optimized OsPtSe structure. The functional is PBE.

## Properties
Electronic total energy = -18.905 eV per cell
Relative energy among the computed polymorphs = 0.2477 eV per atom
Space-group type = Fmm2

a b c (Å): 7.745 7.483 2.827
angles (deg): 84.57 74.12 21.31
Fractional positions:
Os  0.007  0.007  0.993
Se  0.647  0.647  0.353
Pt  0.347  0.347  0.653

***

(2)
This record from the Alexandria database describes a geometry-optimized Na2ScAuF6 structure. The functional is PBE.

## Properties
Electronic total energy = -49.000 eV per cell
Space-group type = Fm-3m

a b c (Å): 6.286 6.286 6.286
angles (deg): 60.00 60.00 60.00
Fractional positions:
Na  0.750  0.750  0.750
Na  0.250  0.250  0.250
Au  0.500  0.500  0.500
Sc  0.000  0.000  0.000
F  0.773  0.227  0.773
F  0.773  0.227  0.227
F  0.227  0.773  0.227
F  0.773  0.773  0.227
F  0.227  0.227  0.773
F  0.227  0.773  0.773

***

(3)
This record from the Alexandria database describes a geometry-optimized LaNd3Ho12 structure. The functional is PBE.

## Properties
Electronic total energy = -73.763 eV per cell
Space-group type = P4/mmm
Formation energy = 25.1 meV/atom

a b c (Å): 5.049 5.049 20.212
angles (deg): 90.00 90.00 90.00
Fractional positions:
Nd  0.000  0.000  0.750
Nd  0.000  0.000  0.250
Nd  0.000  0.000  0.500
Ho  0.500  0.500  0.749
Ho  0.500  0.000  0.625
Ho  0.500  0.500  0.500
Ho  0.000  0.500  0.625
Ho  0.500  0.000  0.126
Ho  0.000  0.500  0.375
Ho  0.500  0.500  0.000
Ho  0.000  0.500  0.126
Ho  0.500  0.000  0.375
Ho  0.500  0.000  0.874
Ho  0.500  0.500  0.251
Ho  0.000  0.500  0.874
La  0.000  0.000  0.000

***

(4)
This record from the Alexandria database describes a geometry-optimized In2B2P structure. The functional is PBE.

## Properties
Electronic total energy = -39.493 eV per cell
Space-group type = P4/mbm
Formation energy = 899.0 meV/atom

a b c (Å): 6.413 6.413 3.755
angles (deg): 90.00 90.00 90.00
Fractional positions:
P  0.000  0.000  0.000
P  0.500  0.500  0.000
In  0.294  0.206  0.500
In  0.794  0.294  0.500
In  0.206  0.706  0.500
In  0.706  0.794  0.500
B  0.409  0.909  0.000
B  0.591  0.091  0.000
B  0.909  0.591  0.000
B  0.091  0.409  0.000

***

(5)
This record from the Alexandria database describes a geometry-optimized PuPa3Co structure. The functional is PBE.

## Properties
Electronic total energy = -100.526 eV per cell
Relative energy among the computed polymorphs = 0.0498 eV per atom
Space-group type = P1
Formation energy = -67.5 meV/atom

a b c (Å): 5.439 6.465 6.273
angles (deg): 90.76 82.97 85.78
Fractional positions:
Pu  0.021  0.099  0.853
Pu  0.053  0.753  0.332
Pa  0.052  0.199  0.403
Pa  0.562  0.008  0.097
Pa  0.525  0.350  0.670
Pa  0.985  0.656  0.763
Pa  0.605  0.464  0.219
Pa  0.531  0.917  0.565
Co  0.435  0.692  0.913
Co  0.162  0.406  0.062

***

(6)
This record from the Alexandria database describes a geometry-optimized Tb5Dy5Tl structure. The functional is PBE.

## Properties
Electronic total energy = -44.911 eV per cell
Space-group type = P-6m2
Formation energy = 328.8 meV/atom

a b c (Å): 6.096 6.096 11.229
angles (deg): 90.00 90.00 120.00
Fractional positions:
Tl  0.333  0.667  0.000
Tb  0.000  0.000  0.267
Tb  0.339  0.169  0.500
Tb  0.831  0.169  0.500
Tb  0.000  0.000  0.733
Tb  0.831  0.661  0.500
Dy  0.667  0.333  0.185
Dy  0.667  0.333  0.815
Dy  0.333  0.667  0.706
Dy  0.333  0.667  0.294
Dy  0.000  0.000  0.000

***

(7)
This record from the Alexandria database describes a geometry-optimized Zr2TaTc structure. The functional is PBE.

## Properties
Electronic total energy = -39.200 eV per cell
Relative energy among the computed polymorphs = 0.2204 eV per atom
Space-group type = C2/m
Formation energy = 28.7 meV/atom

a b c (Å): 5.459 5.448 3.047
angles (deg): 78.67 80.45 117.04
Fractional positions:
Ta  0.000  0.500  0.500
Zr  0.500  0.000  0.500
Zr  0.000  0.000  0.000
Tc  0.500  0.500  0.000

***

(8)
This record from the Alexandria database describes a geometry-optimized MgFe2Ni structure. The functional is PBE.

## Properties
Electronic total energy = -23.933 eV per cell
Space-group type = P4mm
Formation energy = 92.1 meV/atom

a b c (Å): 2.674 2.674 7.332
angles (deg): 90.00 90.00 90.00
Fractional positions:
Mg  0.000  0.000  0.513
Fe  0.500  0.500  0.228
Fe  0.000  0.000  0.987
Ni  0.500  0.500  0.772

***

(9)
This record from the Alexandria database describes a geometry-optimized Tm2CdPd8 structure. The functional is PBE.

## Properties
Electronic total energy = -58.199 eV per cell
Space-group type = C2/m
Formation energy = -618.0 meV/atom

a b c (Å): 4.197 6.544 7.590
angles (deg): 106.74 106.05 90.00
Fractional positions:
Pd  0.963  0.278  0.927
Pd  0.593  0.450  0.186
Pd  0.144  0.187  0.288
Pd  0.037  0.722  0.073
Pd  0.407  0.550  0.814
Pd  0.856  0.813  0.712
Pd  0.327  0.096  0.653
Pd  0.673  0.904  0.347
Tm  0.784  0.334  0.567
Tm  0.216  0.666  0.433
Cd  0.500  0.000  0.000

***

(10)
This record from the Alexandria database describes a geometry-optimized MgGaB3 structure. The functional is PBE.

## Properties
Electronic total energy = -16.363 eV per cell
Relative energy among the computed polymorphs = 0.0000 eV per atom
Space-group type = Pm-3m
Formation energy = 1658.2 meV/atom

a b c (Å): 4.169 4.169 4.169
angles (deg): 90.00 90.00 90.00
Fractional positions:
Mg  0.500  0.500  0.500
B  0.000  0.500  0.000
B  0.500  0.000  0.000
B  0.000  0.000  0.500
Ga  0.000  0.000  0.000

***

(11)
This record from the Alexandria database describes a geometry-optimized ErLuB4Ru2 structure. The functional is PBE.

## Properties
Electronic total energy = -119.133 eV per cell
Space-group type = Pmc2_1
Formation energy = -652.7 meV/atom

a b c (Å): 5.276 5.854 6.316
angles (deg): 90.00 90.00 90.00
Fractional positions:
Ru  0.500  0.818  0.932
Ru  0.500  0.318  0.068
Ru  0.000  0.183  0.569
Ru  0.000  0.683  0.431
B  0.835  0.866  0.715
B  0.165  0.366  0.285
B  0.333  0.633  0.212
B  0.333  0.133  0.788
B  0.835  0.366  0.285
B  0.667  0.633  0.212
B  0.165  0.866  0.715
B  0.667  0.133  0.788
Er  0.500  0.489  0.586
Er  0.500  0.989  0.414
Lu  0.000  0.012  0.084
Lu  0.000  0.512  0.916

***

(12)
This record from the Alexandria database describes a geometry-optimized Ho2AlGe3Rh4 structure. The functional is PBE.

## Properties
Electronic total energy = -65.035 eV per cell
Space-group type = P-4m2
Formation energy = -887.9 meV/atom

a b c (Å): 4.135 4.135 10.367
angles (deg): 90.00 90.00 90.00
Fractional positions:
Ho  0.500  0.000  0.248
Ho  0.000  0.500  0.752
Ge  0.500  0.000  0.868
Ge  0.000  0.000  0.500
Ge  0.000  0.500  0.132
Rh  0.500  0.500  0.000
Rh  0.000  0.500  0.365
Rh  0.500  0.000  0.635
Rh  0.000  0.000  0.000
Al  0.500  0.500  0.500

***

(13)
This record from the Alexandria database describes a geometry-optimized Tb2DyTm2Mg5 structure. The functional is PBE.

## Properties
Electronic total energy = -60.182 eV per cell
Space-group type = P4/mbm
Formation energy = 68.7 meV/atom

a b c (Å): 5.048 10.529 10.529
angles (deg): 90.00 90.00 90.00
Fractional positions:
Mg  0.500  0.697  0.426
Mg  0.500  0.303  0.574
Mg  0.500  0.000  0.500
Mg  0.500  0.074  0.803
Mg  0.500  0.426  0.303
Mg  0.500  0.926  0.197
Mg  0.500  0.500  0.000
Mg  0.500  0.803  0.926
Mg  0.500  0.197  0.074
Mg  0.500  0.574  0.697
Tb  0.000  0.822  0.678
Tb  0.000  0.322  0.822
Tb  0.000  0.678  0.178
Tb  0.000  0.178  0.322
Dy  0.000  0.000  0.000
Dy  0.000  0.500  0.500
Tm  0.000  0.618  0.882
Tm  0.000  0.118  0.618
Tm  0.000  0.882  0.382
Tm  0.000  0.382  0.118

***

(14)
This record from the Alexandria database describes a geometry-optimized BH2W2 structure. The functional is PBE.

## Properties
Electronic total energy = -36.688 eV per cell
Relative energy among the computed polymorphs = 0.0000 eV per atom
Space-group type = I4/mmm

a b c (Å): 3.856 3.856 4.080
angles (deg): 61.80 61.80 90.00
Fractional positions:
H  0.354  0.354  0.292
H  0.646  0.646  0.708
B  0.000  0.000  0.000
W  0.250  0.750  0.500
W  0.750  0.250  0.500

***

(15)
This record from the Alexandria database describes a geometry-optimized CsCuAs2Se structure. The functional is PBE.

## Properties
Electronic total energy = -16.824 eV per cell
Relative energy among the computed polymorphs = 0.0000 eV per atom
Space-group type = P4/mmm

a b c (Å): 4.912 4.912 5.324
angles (deg): 90.00 90.00 90.00
Fractional positions:
Cu  0.000  0.000  0.000
Se  0.000  0.000  0.500
As  0.500  0.000  0.000
As  0.000  0.500  0.000
Cs  0.500  0.500  0.500

***

(16)
This record from the Alexandria database describes a geometry-optimized NbVCd structure. The functional is PBE.

## Properties
Electronic total energy = -78.343 eV per cell
Relative energy among the computed polymorphs = 0.0254 eV per atom
Space-group type = Fmm2
Formation energy = 172.6 meV/atom

a b c (Å): 4.459 3.387 13.944
angles (deg): 90.00 90.00 90.00
Fractional positions:
V  0.500  0.500  0.390
V  0.000  0.500  0.890
V  0.000  0.000  0.390
V  0.500  0.000  0.890
Nb  0.000  0.000  0.741
Nb  0.000  0.500  0.241
Nb  0.500  0.500  0.741
Nb  0.500  0.000  0.241
Cd  0.000  0.000  0.058
Cd  0.000  0.500  0.558
Cd  0.500  0.500  0.058
Cd  0.500  0.000  0.558

***

(17)
This record from the Alexandria database describes a geometry-optimized Te3Mo2S structure. The functional is PBE.

## Properties
Electronic total energy = -74.860 eV per cell
Space-group type = P3m1

a b c (Å): 3.456 3.456 37.750
angles (deg): 90.00 90.00 120.00
Fractional positions:
Mo  0.667  0.333  0.667
Mo  0.333  0.667  0.091
Mo  0.667  0.333  0.279
Mo  0.333  0.667  0.465
S  0.333  0.667  0.240
S  0.333  0.667  0.318
Te  0.333  0.667  0.716
Te  0.667  0.333  0.514
Te  0.333  0.667  0.618
Te  0.667  0.333  0.042
Te  0.667  0.333  0.416
Te  0.667  0.333  0.140

***

(18)
This record from the Alexandria database describes a geometry-optimized YAl2Co structure. The functional is PBE.

## Properties
Electronic total energy = -185.905 eV per cell
Space-group type = Pnma
Formation energy = -545.8 meV/atom

a b c (Å): 5.516 7.006 14.628
angles (deg): 90.00 90.00 90.00
Fractional positions:
Al  0.958  0.051  0.212
Al  0.042  0.949  0.788
Al  0.542  0.449  0.712
Al  0.042  0.551  0.788
Al  0.783  0.940  0.045
Al  0.717  0.940  0.545
Al  0.283  0.060  0.455
Al  0.217  0.440  0.955
Al  0.283  0.440  0.455
Al  0.217  0.060  0.955
Al  0.958  0.449  0.212
Al  0.783  0.560  0.045
Al  0.458  0.551  0.288
Al  0.458  0.949  0.288
Al  0.542  0.051  0.712
Al  0.717  0.560  0.545
Y  0.265  0.750  0.101
Y  0.530  0.750  0.866
Y  0.735  0.250  0.899
Y  0.765  0.250  0.399
Y  0.235  0.750  0.601
Y  0.970  0.750  0.366
Y  0.030  0.250  0.634
Y  0.470  0.250  0.134
Co  0.991  0.250  0.073
Co  0.774  0.750  0.691
Co  0.009  0.750  0.927
Co  0.274  0.250  0.809
Co  0.226  0.250  0.309
Co  0.509  0.250  0.573
Co  0.726  0.750  0.191
Co  0.491  0.750  0.427

***

(19)
This record from the Alexandria database describes a geometry-optimized Sm6TmMg structure. The functional is PBE.

## Properties
Electronic total energy = -33.512 eV per cell
Relative energy among the computed polymorphs = 0.0992 eV per atom
Space-group type = P-1
Formation energy = 108.6 meV/atom

a b c (Å): 8.575 9.550 6.421
angles (deg): 41.91 48.02 56.05
Fractional positions:
Sm  0.052  0.476  0.231
Sm  0.476  0.759  0.712
Sm  0.759  0.948  0.818
Sm  0.524  0.241  0.288
Sm  0.948  0.524  0.769
Sm  0.241  0.052  0.182
Tm  0.500  0.500  0.500
Mg  0.000  0.000  0.000

***

(20)
This record from the Alexandria database describes a geometry-optimized Ge3IrN structure. The functional is PBE.

## Properties
Electronic total energy = -25.398 eV per cell
Relative energy among the computed polymorphs = 0.4596 eV per atom
Space-group type = Pm-3m

a b c (Å): 4.719 4.719 4.719
angles (deg): 90.00 90.00 90.00
Fractional positions:
Ge  0.500  0.000  0.000
Ge  0.000  0.500  0.000
Ge  0.000  0.000  0.500
Ir  0.000  0.000  0.000
N  0.500  0.500  0.500